Record 1
# Rb8AuO2F (PBE, optimized geometry)
# Density of states at the Fermi level = 2.3 states/eV/f.u.
data_Rb8AuO2F
_space_group_name_H-M_alt 'P -3 m 1'
_space_group_IT_number 164
_space_group_name_Hall '-P 3 2"'
_cell_length_a 8.3292
_cell_length_b 8.3292
_cell_length_c 9.4232
_cell_angle_alpha 90.00
_cell_angle_beta 90.00
_cell_angle_gamma 120.00
loop_
_atom_site_label
_atom_site_type_symbol
_atom_site_fract_x
_atom_site_fract_y
_atom_site_fract_z
Rb1 Rb 0.1645 0.3290 0.3049
Rb2 Rb 0.3333 0.6667 0.9454
Au1 Au 0.0000 0.0000 0.0000
O1 O 0.3333 0.6667 0.2121
F1 F 0.0000 0.0000 0.5000

Record 2
VASP calculation (PBE) on Rb5Au2OF after structural relaxation.

Geometry as CIF:
```
data_Rb5Au2OF
_space_group_name_H-M_alt 'C m c 21'
_space_group_IT_number 36
_cell_length_a 4.536
_cell_length_b 18.953
_cell_length_c 14.798
_cell_angle_alpha 90.00
_cell_angle_beta 90.00
_cell_angle_gamma 90.00
loop_
_space_group_symop_operation_xyz
'x,y,z'
'-x,-y,z+1/2'
'-x,y,z'
'x,-y,z+1/2'
'x+1/2,y+1/2,z'
'-x+1/2,-y+1/2,z+1/2'
'-x+1/2,y+1/2,z'
'x+1/2,-y+1/2,z+1/2'
loop_
_atom_site_label
_atom_site_type_symbol
_atom_site_fract_x
_atom_site_fract_y
_atom_site_fract_z
Rb1 Rb 0.000 0.008 0.000
Rb2 Rb 0.000 0.113 0.207
Rb3 Rb 0.000 0.168 0.606
Rb4 Rb 0.000 0.216 0.846
Rb5 Rb 0.000 0.446 0.257
Au1 Au 0.000 0.348 0.514
Au2 Au 0.000 0.389 0.900
O1 O 0.000 0.030 0.667
F1 F 0.000 0.292 0.232
```

Record 3
# Rb2AuOF6 (PBE, optimized geometry)
# Density of states at the Fermi level = 0.6 states/eV/f.u.
data_Rb2AuOF6
_space_group_name_H-M_alt 'I 4/m m m'
_space_group_IT_number 139
_space_group_name_Hall '-I 4 2'
_cell_length_a 6.230
_cell_length_b 6.230
_cell_length_c 8.879
_cell_angle_alpha 90.00
_cell_angle_beta 90.00
_cell_angle_gamma 90.00
loop_
_atom_site_label
_atom_site_type_symbol
_atom_site_fract_x
_atom_site_fract_y
_atom_site_fract_z
Rb1 Rb 0.000 0.500 0.250
Au1 Au 0.000 0.000 0.000
O1 O 0.000 0.000 0.500
F1 F 0.000 0.000 0.232
F2 F 0.235 0.235 0.000

Record 4
# ReAuOF2 (PBE, optimized geometry)
# Offset from the most stable computed form = 0 meV/atom
# Density of states at the Fermi level = 3.7 states/eV/f.u.
data_ReAuOF2
_space_group_name_H-M_alt 'P 4/m m m'
_space_group_IT_number 123
_space_group_name_Hall '-P 4 2'
_cell_length_a 4.276
_cell_length_b 4.276
_cell_length_c 3.787
_cell_angle_alpha 90.00
_cell_angle_beta 90.00
_cell_angle_gamma 90.00
loop_
_atom_site_label
_atom_site_type_symbol
_atom_site_fract_x
_atom_site_fract_y
_atom_site_fract_z
Re1 Re 0.000 0.000 0.000
Au1 Au 0.500 0.500 0.500
O1 O 0.000 0.000 0.500
F1 F 0.000 0.500 0.000

Record 5
# ReAuOF2 (PBE, optimized geometry)
# Offset from the most stable computed form = 1235 meV/atom
# Density of states at the Fermi level = 2.0 states/eV/f.u.
data_ReAuOF2
_space_group_name_H-M_alt 'P 4/m m m'
_space_group_IT_number 123
_space_group_name_Hall '-P 4 2'
_cell_length_a 4.400
_cell_length_b 4.400
_cell_length_c 4.202
_cell_angle_alpha 90.00
_cell_angle_beta 90.00
_cell_angle_gamma 90.00
loop_
_atom_site_label
_atom_site_type_symbol
_atom_site_fract_x
_atom_site_fract_y
_atom_site_fract_z
Re1 Re 0.000 0.000 0.000
Au1 Au 0.500 0.500 0.500
O1 O 0.500 0.500 0.000
F1 F 0.000 0.500 0.500

Record 6
# RhAuOF2 (PBE, optimized geometry)
# Offset from the most stable computed form = 683 meV/atom
# Density of states at the Fermi level = 7.3 states/eV/f.u.
data_RhAuOF2
_space_group_name_H-M_alt 'P 4/m m m'
_space_group_IT_number 123
_space_group_name_Hall '-P 4 2'
_cell_length_a 4.429
_cell_length_b 4.429
_cell_length_c 4.009
_cell_angle_alpha 90.00
_cell_angle_beta 90.00
_cell_angle_gamma 90.00
loop_
_atom_site_label
_atom_site_type_symbol
_atom_site_fract_x
_atom_site_fract_y
_atom_site_fract_z
Rh1 Rh 0.000 0.000 0.000
Au1 Au 0.500 0.500 0.500
O1 O 0.500 0.500 0.000
F1 F 0.000 0.500 0.500

no.,DFT total energy (hartree per atom),M_tot (μB per formula unit),formation energy (no corrections) (meV/atom)
1,-0.103,0.000,-895
2,-0.111,0.075,-1001
3,-0.130,1.000,-1407
4,-0.202,0.001,-610
5,-0.157,5.243,625
6,-0.135,2.619,206